[1]
ThTe3Pd | GGA-PBE | optimized geometry

a = 5.515 Å, b = 6.395 Å, c = 9.039 Å
α = 110.71°, β = 90.00°, γ = 90.00°
Element x y z (fractional)
Th  0.250  0.076  0.740
Th  0.750  0.336  0.260
Te  0.750  0.030  0.885
Te  0.750  0.755  0.168
Te  0.750  0.167  0.555
Te  0.250  0.588  0.832
Te  0.250  0.145  0.115
Te  0.250  0.612  0.445
Pd  0.250  0.594  0.140
Pd  0.750  0.454  0.860

Computed properties:
* DFT total energy: -5.153 eV per atom
* SG: Ama2 (40)
* energy above the most stable polymorph in this dataset: 0.098 eV/atom
* E_form (uncorrected): -0.746 eV per atom

[2]
Th4TePd | GGA-PBE | optimized geometry

a = 6.472 Å, b = 7.369 Å, c = 7.369 Å
α = 90.00°, β = 90.00°, γ = 90.00°
Element x y z (fractional)
Th  0.000  0.166  0.649
Th  0.000  0.834  0.351
Th  0.000  0.351  0.166
Th  0.000  0.649  0.834
Th  0.500  0.834  0.649
Th  0.500  0.166  0.351
Th  0.500  0.649  0.166
Th  0.500  0.351  0.834
Te  0.250  0.000  0.000
Te  0.750  0.000  0.000
Pd  0.250  0.500  0.500
Pd  0.750  0.500  0.500

Computed properties:
* DFT total energy: -6.852 eV per atom
* SG: P4/mcc (124)
* E_form (uncorrected): -0.517 eV per atom